## Ho6TcHg2 (GGA-PBE)

Data for a relaxed structure of Ho6TcHg2.

## Properties
**Energy**: -4.3601 eV per atom
**DFT formation energy**: -0.8 eV per formula unit
**Space group**: Immm, No. 71

a = 5.0714 Å, b = 7.0654 Å, c = 8.5349 Å
α = 114.45°, β = 107.27°, γ = 90.00°
With the nearest neighbours (Å) after each atom.
Positions (direct):
1 Ho 0.5000 0.2319 0.0000  2 Tc 3.02, 2 Hg 3.09, 1 Ho 3.28
2 Ho 0.8430 0.5995 0.6856  1 Tc 2.88, 3 Hg 3.11-3.12
3 Ho 0.1570 0.9139 0.3144  1 Tc 2.88, 3 Hg 3.11-3.12
4 Ho 0.5000 0.7681 0.0000  2 Tc 3.02, 2 Hg 3.09, 1 Ho 3.28
5 Ho 0.1570 0.4005 0.3144  1 Tc 2.88, 3 Hg 3.11-3.12
6 Ho 0.8430 0.0861 0.6856  1 Tc 2.88, 3 Hg 3.11-3.12
7 Hg 0.3338 0.3335 0.6671  8 Ho 3.09-3.12
8 Hg 0.6662 0.6665 0.3329  8 Ho 3.09-3.12
9 Tc 0.0000 0.0000 0.0000  8 Ho 2.88-3.02